Material: Ac6Cd23
Method: DFT, PBE
State: relaxed

The structure belongs to space group Fm-3m (No. 225); the cell edges are 14.5511, 14.5511 and 14.5511 Å and the angles 90.00°, 90.00° and 90.00°. The asymmetric unit holds Ac at (0.0000, 0.0000, 0.2101), Cd at (0.0000, 0.0000, 0.5000), Cd at (0.0000, 0.2500, 0.2500), Cd at (0.1221, 0.1221, 0.3779) and Cd at (0.1707, 0.1707, 0.1707).

Its density of states at the Fermi level is 0.488 states/eV/atom. As for the formation energy: -0.256 eV/atom.

---

Material: KCeTe
Method: DFT, PBE
State: relaxed

The structure belongs to space group R-3m (No. 166, hexagonal axes); the cell edges are 4.9234, 4.9234 and 39.6396 Å and the angles 90.00°, 90.00° and 120.00°. The asymmetric unit holds K at (0.0000, 0.0000, 0.1162), Ce at (0.0000, 0.0000, 0.3084) and Te at (0.0000, 0.0000, 0.3934).

Its density of states at the Fermi level is 2.672 states/eV/atom. The formation energy without anion corrections comes out at -0.67 eV per atom.

---

Material: CsPa2P2N6
Method: DFT, PBE
State: relaxed

The structure belongs to space group C2/m (No. 12); the cell edges are 11.2015, 6.2140 and 6.4432 Å and the angles 90.00°, 121.36° and 90.00°. The asymmetric unit holds Cs at (0.0000, 0.0000, 0.0000), Pa at (0.1888, 0.5000, 0.3004), P at (0.1041, 0.5000, 0.6654), N at (0.0739, 0.5000, 0.8864) and N at (0.1835, 0.2908, 0.6316).

Its density of states at the Fermi level is 0.384 states/eV/atom. The formation energy without anion corrections comes out at -0.89 eV per atom.

---

Material: Y3Zn3Ag
Method: DFT, PBE
State: relaxed

The structure belongs to space group C2/m (No. 12); the cell edges are 10.2474, 4.5127 and 14.5884 Å and the angles 90.00°, 108.09° and 90.00°. The asymmetric unit holds Y at (0.0342, 0.0000, 0.3823), Y at (0.1102, 0.0000, 0.9258), Y at (0.2454, 0.0000, 0.2250), Zn at (0.0339, 0.5000, 0.2300), Zn at (0.1023, 0.5000, 0.0770), Zn at (0.1266, 0.5000, 0.5481) and Ag at (0.2435, 0.5000, 0.3931).

Its density of states at the Fermi level is 0.874 states/eV/atom. As for the formation energy: -0.303 eV/atom.